Record 1
{
  "formula": "Ba3FeBi2O9",
  "functional": "GGA+U",
  "state": "relaxed",
  "energy_ev_per_atom": -6.092,
  "space_group": "No. 164",
  "n_ef_per_ev_atom": 0.146,
  "rho_g_cm3": 7.3,
  "lattice": [[6.027, 0.000, 0.000], [-3.014, 5.220, 0.000], [0.000, 0.000, 7.412]],
  "species": ["Ba", "Ba", "Ba", "Fe", "Bi", "Bi", "O", "O", "O", "O", "O", "O", "O", "O", "O"],
  "frac_coords": [[0.333, 0.667, 0.662], [0.000, 0.000, 0.000], [0.667, 0.333, 0.338], [0.000, 0.000, 0.500], [0.333, 0.667, 0.180], [0.667, 0.333, 0.820], [0.840, 0.160, 0.660], [0.840, 0.679, 0.660], [0.321, 0.160, 0.660], [0.679, 0.840, 0.340], [0.160, 0.321, 0.340], [0.160, 0.840, 0.340], [0.500, 0.000, 0.000], [0.000, 0.500, 0.000], [0.500, 0.500, 0.000]]
}

=====

Record 2
{
  "formula": "Ba2Fe2BiO6",
  "functional": "GGA+U",
  "state": "relaxed",
  "energy_ev_per_atom": -6.181,
  "space_group": "No. 166",
  "rho_g_cm3": 5.8,
  "lattice": [[6.207, 0.000, 0.000], [3.103, 5.375, 0.000], [3.103, 1.792, 5.963]],
  "species": ["Ba", "Ba", "Fe", "Fe", "Bi", "O", "O", "O", "O", "O", "O"],
  "frac_coords": [[0.791, 0.791, 0.628], [0.209, 0.209, 0.372], [0.428, 0.428, 0.715], [0.572, 0.572, 0.285], [0.000, 0.000, 0.000], [0.749, 0.749, 0.269], [0.232, 0.749, 0.269], [0.749, 0.232, 0.269], [0.251, 0.768, 0.731], [0.768, 0.251, 0.731], [0.251, 0.251, 0.731]]
}

=====

Record 3
{
  "formula": "Ba2Fe5BiPb2O13",
  "functional": "GGA+U",
  "state": "relaxed",
  "energy_ev_per_atom": -6.111,
  "space_group": "No. 12",
  "rho_g_cm3": 7.5,
  "lattice": [[-6.463, -1.543, -11.963], [-6.801, -5.250, -10.651], [-5.044, 1.299, 2.371]],
  "species": ["Ba", "Ba", "Fe", "Fe", "Fe", "Fe", "Fe", "Bi", "Pb", "Pb", "O", "O", "O", "O", "O", "O", "O", "O", "O", "O", "O", "O", "O"],
  "frac_coords": [[0.101, 0.101, 0.993], [0.899, 0.899, 0.007], [0.397, 0.397, 0.506], [0.603, 0.603, 0.494], [0.500, 0.500, 0.000], [0.294, 0.294, 0.020], [0.706, 0.706, 0.980], [0.000, 0.000, 0.500], [0.807, 0.807, 0.513], [0.193, 0.193, 0.487], [0.452, 0.452, 0.719], [0.548, 0.548, 0.281], [0.553, 0.553, 0.744], [0.447, 0.447, 0.256], [0.892, 0.892, 0.511], [0.108, 0.108, 0.489], [0.662, 0.662, 0.715], [0.338, 0.338, 0.285], [0.221, 0.221, 0.937], [0.779, 0.779, 0.063], [0.340, 0.340, 0.766], [0.660, 0.660, 0.234], [0.000, 0.000, 0.000]]
}